# 1
{
  "formula": "Mg3Zr",
  "functional": "meta-GGA SCAN",
  "state": "PBEsol geometry",
  "e_form_ev_per_atom": 0.0598,
  "cell": [[2.897, 0.000, 0.000], [0.000, 5.786, 0.000], [-1.448, -2.893, 5.234]],
  "species": ["Zr", "Mg", "Mg", "Mg"],
  "fractional_positions": [[0.000, 0.020, 0.000], [0.500, 0.519, 0.000], [0.252, 0.566, 0.503], [0.748, 0.062, 0.497]]
}



# 2
{
  "formula": "Al2IrOs",
  "functional": "meta-GGA SCAN",
  "state": "PBEsol geometry",
  "e_form_ev_per_atom": -0.2608,
  "polymorph_energy_ev_per_fu": 2.85,
  "cell": [[2.796, 0.000, 0.000], [1.398, 2.422, 0.000], [1.398, 0.807, 8.461]],
  "species": ["Al", "Os", "Al", "Ir"],
  "fractional_positions": [[0.753, 0.753, 0.740], [0.251, 0.251, 0.247], [0.997, 0.997, 0.009], [0.499, 0.499, 0.504]]
}



# 3
{
  "formula": "Sr2ZnTe",
  "functional": "meta-GGA SCAN",
  "state": "PBEsol geometry",
  "raw_formation_energy_ev_per_atom": -0.851,
  "polymorph_energy_ev_per_fu": 0.09,
  "cell": [[4.527, 0.000, 0.000], [0.000, 4.630, 0.021], [-2.264, -0.031, 6.071]],
  "species": ["Sr", "Te", "Zn", "Sr"],
  "fractional_positions": [[0.259, 0.625, 0.518], [0.540, 0.626, 0.080], [0.720, 0.124, 0.440], [0.981, 0.126, 0.962]]
}



# 4
{
  "formula": "MnTl2Hg",
  "functional": "meta-GGA SCAN",
  "state": "PBEsol geometry",
  "e_form_ev_per_atom": 0.0688,
  "polymorph_energy_ev_per_fu": 0.00,
  "cell": [[3.101, 0.000, 0.000], [0.000, 4.528, 0.000], [-1.551, -2.264, 6.758]],
  "species": ["Mn", "Tl", "Tl", "Hg"],
  "fractional_positions": [[0.000, 0.500, 0.000], [0.318, 0.318, 0.636], [0.682, 0.682, 0.364], [0.500, 0.000, 0.000]]
}



| no. | calculated total energy (eV per atom) |
| --- | --- |
| 1 | -11.35 |
| 2 | -39.88 |
| 3 | -24.68 |
| 4 | -57.72 |